The following is a DFT calculation (GGA-PBE) of a relaxed structure of Al2PdCl.

Values from the calculation:
Formation energy from raw total energies in kJ per mole of atoms: -22
Energy above the most stable polymorph in this dataset in meV/atom: 0.0

Unit cell a=6.0603 b=6.0603 c=6.9473 alpha=64.14 beta=64.14 gamma=90.00
Positions (direct):
Al: 0.6724 0.1250 0.2500
Al: 0.0776 0.6250 0.2500
Al: 0.3750 0.3276 0.7500
Al: 0.8750 0.9224 0.7500
Pd: 0.0000 0.0000 0.0000
Pd: 0.7500 0.2500 0.5000
Cl: 0.5000 0.5000 0.0000
Cl: 0.2500 0.7500 0.5000



The following is a DFT calculation (GGA-PBE) of a relaxed structure of RbAlPdCl6.

Values from the calculation:
Formation energy from raw total energies in kJ per mole of atoms: -118

Unit cell a=6.4059 b=6.4059 c=7.3930 alpha=90.00 beta=90.00 gamma=60.00
Last column: magnetic moment on the atom in μB.
Positions (direct):
Rb: 0.0000 0.0000 0.0000  0.00
Al: 0.3333 0.3333 0.5000  0.00
Pd: 0.6666 0.6667 0.5000  1.17
Cl: 0.0231 0.3576 0.3157  0.11
Cl: 0.3575 0.0231 0.6843  0.11
Cl: 0.6193 0.3576 0.6843  0.11
Cl: 0.0231 0.6194 0.6843  0.11
Cl: 0.3575 0.6193 0.3157  0.11
Cl: 0.6193 0.0231 0.3157  0.11



The following is a DFT calculation (GGA-PBE) of a relaxed structure of RbAl2PdCl8.

Values from the calculation:
Formation energy from raw total energies in kJ per mole of atoms: -131

Unit cell a=6.4367 b=6.4367 c=10.2173 alpha=71.64 beta=71.64 gamma=60.00
Last column: magnetic moment on the atom in μB.
Positions (direct):
Rb: 0.5000 0.5000 0.5000  0.00
Al: 0.2543 0.2543 0.2370  0.00
Al: 0.7457 0.7457 0.7630  0.00
Pd: 0.0000 0.0000 0.0000  0.77
Cl: 0.1786 0.1786 0.4642  0.00
Cl: 0.5978 0.2774 0.1694  0.02
Cl: 0.8214 0.8214 0.5358  0.00
Cl: 0.9554 0.5978 0.1694  0.02
Cl: 0.0446 0.4022 0.8306  0.02
Cl: 0.2774 0.9554 0.1694  0.02
Cl: 0.7226 0.0446 0.8306  0.02
Cl: 0.4022 0.7226 0.8306  0.02



The following is a DFT calculation (GGA-PBE) of a relaxed structure of Al2PdRuCl.

Values from the calculation:
Formation energy from raw total energies in kJ per mole of atoms: 87
Energy above the most stable polymorph in this dataset in meV/atom: 493.9

Unit cell a=4.6336 b=4.6336 c=4.3935 alpha=90.00 beta=90.00 gamma=90.00
Last column: magnetic moment on the atom in μB.
Positions (direct):
Ru: 0.5000 0.5000 0.5000  1.41
Al: 0.0000 0.5000 0.0000  0.01
Al: 0.5000 0.0000 0.0000  0.01
Pd: 0.0000 0.0000 0.5000  0.00
Cl: 0.0000 0.0000 0.0000  -0.01



The following is a DFT calculation (GGA-PBE) of a relaxed structure of Al2PdRuCl.

Values from the calculation:
Formation energy from raw total energies in kJ per mole of atoms: 39
Energy above the most stable polymorph in this dataset in meV/atom: 0.0

Unit cell a=4.7589 b=4.6459 c=4.7589 alpha=90.00 beta=90.00 gamma=90.00
Positions (direct):
Ru: 0.0000 0.0000 0.0000
Al: 0.0000 0.0000 0.5000
Al: 0.5000 0.0000 0.0000
Pd: 0.5000 0.5000 0.5000
Cl: 0.0000 0.5000 0.0000



The following is a DFT calculation (GGA-PBE) of a relaxed structure of AlSbPdCl2.

Values from the calculation:
Formation energy from raw total energies in kJ per mole of atoms: -16

Unit cell a=4.4569 b=5.9376 c=4.4569 alpha=90.00 beta=90.00 gamma=90.00
Positions (direct):
Sb: 0.0000 0.5000 0.0000
Al: 0.0000 0.0000 0.0000
Pd: 0.5000 0.5000 0.5000
Cl: 0.0000 0.0000 0.5000
Cl: 0.5000 0.0000 0.0000



The following is a DFT calculation (GGA-PBE) of a relaxed structure of AlSnPd2Cl.

Values from the calculation:
Formation energy from raw total energies in kJ per mole of atoms: 33

Unit cell a=4.6115 b=5.0572 c=4.6115 alpha=90.00 beta=90.00 gamma=90.00
Positions (direct):
Al: 0.0000 0.5000 0.0000
Sn: 0.5000 0.5000 0.5000
Pd: 0.0000 0.0000 0.5000
Pd: 0.5000 0.0000 0.0000
Cl: 0.0000 0.0000 0.0000



The following is a DFT calculation (GGA-PBE) of a relaxed structure of AlTlPdCl6.

Values from the calculation:
Formation energy from raw total energies in kJ per mole of atoms: -97

Unit cell a=6.3980 b=6.3980 c=7.1582 alpha=90.00 beta=90.00 gamma=60.00
Last column: magnetic moment on the atom in μB.
Positions (direct):
Al: 0.3333 0.3333 0.5000  0.00
Tl: 0.0000 0.0000 0.0000  0.01
Pd: 0.6666 0.6667 0.5000  1.16
Cl: 0.0227 0.3570 0.3099  0.11
Cl: 0.3570 0.0228 0.6901  0.11
Cl: 0.6202 0.3570 0.6901  0.11
Cl: 0.0227 0.6203 0.6901  0.11
Cl: 0.3570 0.6203 0.3099  0.11
Cl: 0.6202 0.0228 0.3099  0.11



The following is a DFT calculation (GGA-PBE) of a relaxed structure of Al2TlPdCl8.

Values from the calculation:
Formation energy from raw total energies in kJ per mole of atoms: -112

Unit cell a=7.1124 b=7.1124 c=8.8482 alpha=90.00 beta=90.00 gamma=120.00
Last column: magnetic moment on the atom in μB.
Positions (direct):
Al: 0.3333 0.6667 0.7249  0.01
Al: 0.6667 0.3333 0.2751  0.01
Tl: 0.0000 0.0000 0.5000  0.00
Pd: 0.0000 0.0000 0.0000  0.78
Cl: 0.1664 0.3329 0.8046  0.02
Cl: 0.1664 0.8336 0.8046  0.02
Cl: 0.6671 0.8336 0.8046  0.02
Cl: 0.3329 0.1664 0.1954  0.02
Cl: 0.6667 0.3333 0.5168  0.01
Cl: 0.3333 0.6667 0.4832  0.01
Cl: 0.8336 0.6671 0.1954  0.02
Cl: 0.8336 0.1664 0.1954  0.02



The following is a DFT calculation (GGA-PBE) of a relaxed structure of AlPdWCl2.

Values from the calculation:
Formation energy from raw total energies in kJ per mole of atoms: 58

Unit cell a=4.5442 b=5.5005 c=4.5442 alpha=90.00 beta=90.00 gamma=90.00
Positions (direct):
Al: 0.0000 0.5000 0.0000
Pd: 0.5000 0.5000 0.5000
W: 0.0000 0.0000 0.0000
Cl: 0.0000 0.0000 0.5000
Cl: 0.5000 0.0000 0.0000



The following is a DFT calculation (GGA-PBE) of a relaxed structure of PmAl2Cl8.

Values from the calculation:
Formation energy from raw total energies in kJ per mole of atoms: -155

Unit cell a=6.5042 b=8.1677 c=8.1677 alpha=67.20 beta=82.29 gamma=82.29
Last column: magnetic moment on the atom in μB.
Positions (direct):
Pm: 0.0000 0.0000 0.0000  0.50
Al: 0.6533 0.8101 0.8101  0.02
Al: 0.3467 0.1899 0.1899  0.02
Cl: 0.2413 0.2916 0.9213  -0.01
Cl: 0.7587 0.0787 0.7084  -0.01
Cl: 0.3078 0.8277 0.8277  0.00
Cl: 0.6922 0.1723 0.1723  0.00
Cl: 0.2413 0.9213 0.2916  -0.01
Cl: 0.7587 0.7084 0.0787  -0.01
Cl: 0.7734 0.6569 0.6569  0.01
Cl: 0.2266 0.3431 0.3431  0.01



The following is a DFT calculation (GGA-PBE) of a relaxed structure of Pm6AlCl8.

Values from the calculation:
Formation energy from raw total energies in kJ per mole of atoms: -156

Unit cell a=7.0711 b=7.0711 c=11.0124 alpha=71.27 beta=71.27 gamma=60.00
Positions (direct):
Pm: 0.9450 0.6252 0.1647
Pm: 0.7349 0.0550 0.8353
Pm: 0.3748 0.7349 0.8353
Pm: 0.6252 0.2651 0.1647
Pm: 0.2651 0.9450 0.1647
Pm: 0.0550 0.3748 0.8353
Al: 0.0000 0.0000 0.0000
Cl: 0.7739 0.4427 0.6753
Cl: 0.8919 0.2261 0.3247
Cl: 0.5573 0.8919 0.3247
Cl: 0.3333 0.3333 0.0001
Cl: 0.6667 0.6667 0.9999
Cl: 0.4427 0.1081 0.6753
Cl: 0.1081 0.7739 0.6753
Cl: 0.2261 0.5573 0.3247



Number 1: total moment 0.00 μB per formula unit. Number 2: total moment 2.00 μB per formula unit. Number 3: total moment 1.00 μB per formula unit. Number 4: total moment 1.49 μB per formula unit. Number 5: total moment 0.00 μB per formula unit. Number 6: total moment 0.00 μB per formula unit. Number 7: total moment 0.00 μB per formula unit. Number 8: total moment 2.00 μB per formula unit. Number 9: total moment 1.00 μB per formula unit. Number 10: total moment 0.00 μB per formula unit. Number 11: total moment 1.04 μB per formula unit. Number 12: total moment 0.00 μB per formula unit.